A relaxed SnPdIN2 crystal. Source: the Alexandria database, functional PBE-GGA.

Calculated values
Uncorrected formation energy ... 1.4323 eV/atom
Energy above the lowest structure with this stoichiometry ... 134 meV/atom
Density ... 6.15 g cm⁻³

abc: 4.2802 4.2802 5.6008
angles: 90.00 90.00 90.00
Last column: nearest neighbours and their distance in Å.
Element x y z (fractional)
I (0.0000, 0.0000, 0.5000)  2 Pd 2.80, 4 Sn 3.03
Sn (0.5000, 0.5000, 0.5000)  4 I 3.03
Pd (0.0000, 0.0000, 0.0000)  4 N 2.14
N (0.0000, 0.5000, 0.0000)  2 Pd 2.14
N (0.5000, 0.0000, 0.0000)  2 Pd 2.14

A relaxed SrPdIN2 crystal. Source: the Alexandria database, functional PBE-GGA.

Calculated values
Uncorrected formation energy ... 0.7549 eV/atom
Energy above the lowest structure with this stoichiometry ... 0 meV/atom
Density ... 5.61 g cm⁻³

abc: 4.3693 4.3693 5.4114
angles: 90.00 90.00 90.00
Last column: nearest neighbours and their distance in Å.
Element x y z (fractional)
I (0.0000, 0.0000, 0.5000)  2 Pd 2.71
Sr (0.5000, 0.5000, 0.5000)  4 I 3.09
Pd (0.0000, 0.0000, 0.0000)  4 N 2.18
N (0.0000, 0.5000, 0.0000)  2 Pd 2.18
N (0.5000, 0.0000, 0.0000)  2 Pd 2.18

A relaxed Sr2PdIN crystal. Source: the Alexandria database, functional PBE-GGA.

Calculated values
Uncorrected formation energy ... -0.7370 eV/atom
Density ... 5.73 g cm⁻³

abc: 5.4496 5.4496 4.1242
angles: 90.00 90.00 90.00
Last column: nearest neighbours and their distance in Å.
Element x y z (fractional)
I (0.5000, 0.5000, 0.5000)  8 Sr 3.42
Sr (0.0000, 0.5000, 0.0000)  2 N 2.72
Sr (0.5000, 0.0000, 0.0000)  2 N 2.72
Pd (0.0000, 0.0000, 0.5000)  2 N 2.06
N (0.0000, 0.0000, 0.0000)  2 Pd 2.06

A relaxed SrPdIN2 crystal. Source: the Alexandria database, functional PBE-GGA.

Calculated values
Uncorrected formation energy ... 1.4010 eV/atom
Energy above the lowest structure with this stoichiometry ... 646 meV/atom
Density ... 3.71 g cm⁻³

abc: 4.8291 4.8291 6.7040
angles: 90.00 90.00 90.00
Last column: nearest neighbours and their distance in Å.
Element x y z (fractional)
I (0.0000, 0.0000, 0.5000)  2 Sr 3.35, 4 Pd 3.41
Sr (0.0000, 0.0000, 0.0000)  4 N 2.41
Pd (0.5000, 0.5000, 0.5000)  4 I 3.41
N (0.0000, 0.5000, 0.0000)  2 Sr 2.41
N (0.5000, 0.0000, 0.0000)  2 Sr 2.41

A relaxed TePdI2N crystal. Source: the Alexandria database, functional PBE-GGA.

Calculated values
Uncorrected formation energy ... 0.7419 eV/atom
Energy above the lowest structure with this stoichiometry ... 0 meV/atom
Density ... 6.44 g cm⁻³

abc: 5.8793 5.8793 3.7427
angles: 90.00 90.00 90.00
Last column: nearest neighbours and their distance in Å.
Element x y z (fractional)
I (0.0000, 0.5000, 0.0000)  2 Pd 2.94
I (0.5000, 0.0000, 0.0000)  2 Pd 2.94
Te (0.5000, 0.5000, 0.5000)  8 I 3.48, 2 Te 3.74
Pd (0.0000, 0.0000, 0.0000)  2 N 1.87
N (0.0000, 0.0000, 0.5000)  2 Pd 1.87

A relaxed Te2PdIN crystal. Source: the Alexandria database, functional PBE-GGA.

Calculated values
Uncorrected formation energy ... 0.7132 eV/atom
Energy above the lowest structure with this stoichiometry ... 0 meV/atom
Density ... 6.71 g cm⁻³

abc: 5.7864 5.7864 3.7123
angles: 90.00 90.00 90.00
Last column: nearest neighbours and their distance in Å.
Element x y z (fractional)
I (0.5000, 0.5000, 0.5000)  8 Te 3.44, 2 I 3.71
Te (0.0000, 0.5000, 0.0000)  2 Pd 2.89
Te (0.5000, 0.0000, 0.0000)  2 Pd 2.89
Pd (0.0000, 0.0000, 0.0000)  2 N 1.86
N (0.0000, 0.0000, 0.5000)  2 Pd 1.86

A relaxed Te2PdIN crystal. Source: the Alexandria database, functional PBE-GGA.

Calculated values
Uncorrected formation energy ... 1.3879 eV/atom
Energy above the lowest structure with this stoichiometry ... 675 meV/atom
Density ... 6.20 g cm⁻³

abc: 5.9141 5.9141 3.8486
angles: 90.00 90.00 90.00
Last column: nearest neighbours and their distance in Å.
Element x y z (fractional)
I (0.0000, 0.0000, 0.0000)  2 N 1.92
Te (0.0000, 0.5000, 0.0000)  2 I 2.96
Te (0.5000, 0.0000, 0.0000)  2 I 2.96
Pd (0.5000, 0.5000, 0.5000)  8 Te 3.53, 2 Pd 3.85
N (0.0000, 0.0000, 0.5000)  2 I 1.92

A relaxed TePdI2N crystal. Source: the Alexandria database, functional PBE-GGA.

Calculated values
Uncorrected formation energy ... 1.5316 eV/atom
Energy above the lowest structure with this stoichiometry ... 790 meV/atom
Density ... 5.42 g cm⁻³

abc: 5.4221 5.4221 5.2314
angles: 90.00 90.00 90.00
Last column: nearest neighbours and their distance in Å.
Element x y z (fractional)
I (0.0000, 0.5000, 0.0000)  2 Pd 2.71
I (0.5000, 0.0000, 0.0000)  2 Pd 2.71
Te (0.0000, 0.0000, 0.5000)  2 Pd 2.62
Pd (0.0000, 0.0000, 0.0000)  2 Te 2.62, 4 I 2.71
N (0.5000, 0.5000, 0.5000)  8 I 3.77, 4 Te 3.83

A relaxed TePdI2N crystal. Source: the Alexandria database, functional PBE-GGA.

Calculated values
Uncorrected formation energy ... 1.0821 eV/atom
Energy above the lowest structure with this stoichiometry ... 340 meV/atom
Density ... 7.12 g cm⁻³

abc: 4.8676 4.8676 4.9419
angles: 90.00 90.00 90.00
Last column: nearest neighbours and their distance in Å.
Element x y z (fractional)
I (0.0000, 0.5000, 0.0000)  2 N 2.43
I (0.5000, 0.0000, 0.0000)  2 N 2.43
Te (0.0000, 0.0000, 0.5000)  2 N 2.47
Pd (0.5000, 0.5000, 0.5000)  4 Te 3.44, 8 I 3.47
N (0.0000, 0.0000, 0.0000)  4 I 2.43, 2 Te 2.47

A relaxed TePdI2N crystal. Source: the Alexandria database, functional PBE-GGA.

Calculated values
Uncorrected formation energy ... 0.9729 eV/atom
Energy above the lowest structure with this stoichiometry ... 231 meV/atom
Density ... 5.62 g cm⁻³

abc: 6.1145 6.1145 3.9631
angles: 90.00 90.00 90.00
Last column: nearest neighbours and their distance in Å.
Element x y z (fractional)
I (0.0000, 0.5000, 0.0000)  2 Te 3.06
I (0.5000, 0.0000, 0.0000)  2 Te 3.06
Te (0.0000, 0.0000, 0.0000)  2 N 1.98
Pd (0.5000, 0.5000, 0.5000)  8 I 3.64, 2 Pd 3.96
N (0.0000, 0.0000, 0.5000)  2 Te 1.98

A relaxed Te2PdIN crystal. Source: the Alexandria database, functional PBE-GGA.

Calculated values
Uncorrected formation energy ... 1.2361 eV/atom
Energy above the lowest structure with this stoichiometry ... 523 meV/atom
Density ... 5.21 g cm⁻³

abc: 5.3114 5.3114 5.6770
angles: 90.00 90.00 90.00
Last column: nearest neighbours and their distance in Å.
Element x y z (fractional)
I (0.0000, 0.0000, 0.5000)  2 Pd 2.84
Te (0.0000, 0.5000, 0.0000)  2 Pd 2.66
Te (0.5000, 0.0000, 0.0000)  2 Pd 2.66
Pd (0.0000, 0.0000, 0.0000)  4 Te 2.66, 2 I 2.84
N (0.5000, 0.5000, 0.5000)  4 I 3.76, 8 Te 3.89

A relaxed Te2PdIN crystal. Source: the Alexandria database, functional PBE-GGA.

Calculated values
Uncorrected formation energy ... 0.9660 eV/atom
Energy above the lowest structure with this stoichiometry ... 253 meV/atom
Density ... 7.51 g cm⁻³

abc: 4.8256 4.8256 4.7731
angles: 90.00 90.00 90.00
Last column: nearest neighbours and their distance in Å.
Element x y z (fractional)
I (0.0000, 0.0000, 0.5000)  2 N 2.39
Te (0.0000, 0.5000, 0.0000)  2 N 2.41
Te (0.5000, 0.0000, 0.0000)  2 N 2.41
Pd (0.5000, 0.5000, 0.5000)  8 Te 3.39, 4 I 3.41
N (0.0000, 0.0000, 0.0000)  2 I 2.39, 4 Te 2.41

A relaxed TiPd2IN crystal. Source: the Alexandria database, functional PBE-GGA.

Calculated values
Uncorrected formation energy ... 0.5405 eV/atom
Density ... 7.06 g cm⁻³

abc: 3.9706 5.9958 3.9706
angles: 90.00 90.00 90.00
Last column: nearest neighbours and their distance in Å.
Element x y z (fractional)
I (0.0000, 0.5000, 0.0000)  4 Ti 2.81, 2 N 3.00
N (0.0000, 0.0000, 0.0000)  4 Pd 1.99
Pd (0.0000, 0.0000, 0.5000)  2 N 1.99
Pd (0.5000, 0.0000, 0.0000)  2 N 1.99
Ti (0.5000, 0.5000, 0.5000)  4 I 2.81